{"formula": "CsVF3", "functional": "GGA+U", "state": "optimized geometry", "e_tot_ev_per_atom": -5.30, "vol_a3_per_cell": 220.5, "m_tot_mub_per_cell": 6.00, "crystal_system": "monoclinic", "cell": [[8.2199, -1.7089, 0.0000], [8.2199, 1.7089, 0.0000], [-0.1053, 0.0000, 7.8496]], "species": ["Cs", "Cs", "V", "V", "F", "F", "F", "F", "F", "F"], "fractional_positions": [[0.1394, 0.1394, 0.1357], [0.8606, 0.8606, 0.8643], [0.3997, 0.3997, 0.3305], [0.6003, 0.6003, 0.6695], [0.0411, 0.0411, 0.7838], [0.1303, 0.1303, 0.5177], [0.3139, 0.3139, 0.1444], [0.6861, 0.6861, 0.8556], [0.8697, 0.8697, 0.4823], [0.9589, 0.9589, 0.2162]]}